Material: PrHo3Te
Method: DFT, PBE-GGA
State: optimized geometry

Cell: 8.520 8.781 9.988 Å, 90.00 124.76 90.00°
Positions (direct):
Pr: 0.155 0.075 0.420
Pr: 0.155 0.425 0.920
Pr: 0.845 0.575 0.080
Pr: 0.845 0.925 0.580
Ho: 0.106 0.674 0.510
Ho: 0.106 0.826 0.010
Ho: 0.283 0.062 0.839
Ho: 0.283 0.438 0.339
Ho: 0.424 0.115 0.242
Ho: 0.424 0.385 0.742
Ho: 0.576 0.615 0.258
Ho: 0.576 0.885 0.758
Ho: 0.717 0.562 0.661
Ho: 0.717 0.938 0.161
Ho: 0.894 0.174 0.990
Ho: 0.894 0.326 0.490
Te: 0.379 0.709 0.893
Te: 0.379 0.791 0.393
Te: 0.621 0.209 0.607
Te: 0.621 0.291 0.107

Output
formation energy without anion corrections: -0.373 eV per atom

Material: Cs2NaAuO
Method: DFT, PBE-GGA
State: optimized geometry

Cell: 6.131 6.131 4.485 Å, 90.00 90.00 90.00°
Positions (direct):
Cs: 0.000 0.500 0.000
Cs: 0.500 0.000 0.000
Na: 0.000 0.000 0.500
Au: 0.500 0.500 0.500
O: 0.000 0.000 0.000

Output
formation energy without anion corrections: -0.729 eV per atom

Material: Mo3Ir4
Method: DFT, PBE-GGA
State: optimized geometry

Cell: 10.141 10.141 10.141 Å, 161.21 161.21 26.69°
Positions (direct):
Mo: 0.000 0.000 0.000
Mo: 0.292 0.292 0.000
Mo: 0.708 0.708 0.000
Ir: 0.146 0.146 0.000
Ir: 0.430 0.430 0.000
Ir: 0.570 0.570 0.000
Ir: 0.854 0.854 0.000

Output
ΔE_f: 0.07 eV per atom

Material: Mg3Ga3CuRh2
Method: DFT, PBE-GGA
State: optimized geometry

Cell: 7.340 7.340 3.030 Å, 90.00 90.00 120.00°
Positions (direct):
Mg: 0.000 0.716 0.000
Mg: 0.284 0.284 0.000
Mg: 0.716 0.000 0.000
Ga: 0.000 0.377 0.500
Ga: 0.377 0.000 0.500
Ga: 0.623 0.623 0.500
Cu: 0.000 0.000 0.500
Rh: 0.333 0.667 0.000
Rh: 0.667 0.333 0.000

Output
ΔE_f: -0.35 eV per atom

Material: Ac3Ge3Rh
Method: DFT, PBE-GGA
State: optimized geometry

Cell: 9.166 9.166 6.333 Å, 90.00 90.00 120.00°
Positions (direct):
Ac: 0.089 0.384 0.250
Ac: 0.295 0.911 0.250
Ac: 0.384 0.295 0.750
Ac: 0.616 0.705 0.250
Ac: 0.705 0.089 0.750
Ac: 0.911 0.616 0.750
Ge: 0.093 0.389 0.750
Ge: 0.295 0.907 0.750
Ge: 0.389 0.295 0.250
Ge: 0.611 0.705 0.750
Ge: 0.705 0.093 0.250
Ge: 0.907 0.611 0.250
Rh: 0.333 0.667 0.750
Rh: 0.667 0.333 0.250

Output
ΔE_f: -0.47 eV per atom

Material: Ba8NiH2
Method: DFT, PBE-GGA
State: optimized geometry

Cell: 8.952 8.952 7.404 Å, 91.62 91.62 62.38°
Positions (direct):
Ba: 0.133 0.680 0.730
Ba: 0.159 0.159 0.779
Ba: 0.320 0.867 0.270
Ba: 0.340 0.340 0.229
Ba: 0.660 0.660 0.771
Ba: 0.680 0.133 0.730
Ba: 0.841 0.841 0.221
Ba: 0.867 0.320 0.270
Ni: 0.000 0.000 0.500
H: 0.175 0.175 0.141
H: 0.825 0.825 0.859

Material: CaTa2Cr
Method: DFT, PBE-GGA
State: optimized geometry

Cell: 9.676 9.676 9.676 Å, 18.34 18.34 18.34°
Positions (direct):
Ca: 0.000 0.000 0.000
Ta: 0.233 0.233 0.233
Ta: 0.767 0.767 0.767
Cr: 0.500 0.500 0.500

Output
ΔE_f: 0.63 eV per atom

Material: TlCdInAg
Method: DFT, PBE-GGA
State: optimized geometry

Cell: 5.167 5.167 5.167 Å, 60.00 60.00 60.00°
Positions (direct):
Tl: 0.000 0.000 0.000
Cd: 0.750 0.750 0.750
In: 0.500 0.500 0.500
Ag: 0.250 0.250 0.250

Output
ΔE_f: 0.09 eV per atom

no.,uncorrected energy (eV per atom)
1,-4.70
2,-2.98
3,-9.64
4,-3.98
5,-5.26
6,-2.65
7,-8.21
8,-2.13